Record 1
Below is a relaxed SrZnCd2 crystal, with properties calculated at the PBE-GGA level.

energy of formation from the pure elements: -0.124 eV per atom
magnetic moment: 0.0 μB per cell
ρ: 5.97 g/cm³
raw total energy: -5.28 eV/cell

a b c (Å): 3.834 3.834 7.156
angles (deg): 90.00 90.00 90.00
Space group P4mm (No. 99)
One atom of each set of equivalent atoms:
Sr 0.000 0.000 0.000
Zn 0.500 0.500 0.285
Cd 0.000 0.000 0.475
Cd 0.500 0.500 0.695



Record 2
Below is a relaxed Sr2Zn5Cd5 crystal, with properties calculated at the PBE-GGA level.

energy of formation from the pure elements: -0.160 eV per atom
magnetic moment: 0.0 μB per cell
ρ: 6.51 g/cm³
raw total energy: -16.23 eV/cell

a b c (Å): 4.676 5.613 10.336
angles (deg): 90.00 90.00 90.00
Space group Pmmm (No. 47)
One atom of each set of equivalent atoms:
Sr 0.000 0.000 0.000
Sr 0.000 0.500 0.500
Zn 0.500 0.000 0.500
Zn 0.500 0.262 0.273
Cd 0.000 0.000 0.329
Cd 0.000 0.500 0.178
Cd 0.500 0.500 0.000



Record 3
Below is a relaxed Sr6ZnCd2 crystal, with properties calculated at the PBE-GGA level.

energy of formation from the pure elements: -0.201 eV per atom
magnetic moment: 0.0 μB per cell
ρ: 3.82 g/cm³
raw total energy: -60.03 eV/cell

a b c (Å): 5.764 14.303 17.217
angles (deg): 90.00 90.00 90.00
Space group Fmmm (No. 69)
One atom of each set of equivalent atoms:
Sr 0.000 0.134 0.000
Sr 0.000 0.137 0.336
Zn 0.000 0.000 0.500
Cd 0.000 0.000 0.169